# 1
Computed, not measured: crystalline Cu2PbCl at its relaxed geometry at the PBE level of DFT.

Calculated values
SG = No. 6
Magnetization = 0.00 μB/atom
Energy relative to the elements, uncorrected = -0.08 eV per atom
DOS(E_F) = 0.90 states/eV per cell

Lattice parameters (Å, degrees): 3.380 3.323 7.478 75.73 90.00 90.00
Fractional coordinates of all 4 atoms:
1 Pb 0.000 0.588 0.440
2 Cu 0.000 0.800 0.046
3 Cu 0.500 0.222 0.187
4 Cl 0.500 0.889 0.827



# 2
Computed, not measured: crystalline Cu3Pb2Cl8 at its relaxed geometry at the PBE level of DFT.

Calculated values
SG = No. 12
Magnetization = 0.08 μB/atom
Energy relative to the elements, uncorrected = -0.74 eV per atom
DOS(E_F) = 8.03 states/eV per cell

Lattice parameters (Å, degrees): 7.242 7.699 7.699 54.69 77.04 77.05
Last column: magnetic moment on the atom in μB.
Fractional coordinates of all 13 atoms:
1 Cu 0.500 0.000 0.000  0.20
2 Cu 0.000 0.749 0.251  0.26
3 Cu 0.000 0.251 0.749  0.26
4 Pb 0.313 0.737 0.737  0.00
5 Pb 0.687 0.263 0.263  0.00
6 Cl 0.960 0.391 0.391  0.06
7 Cl 0.040 0.609 0.609  0.06
8 Cl 0.938 0.895 0.895  0.06
9 Cl 0.062 0.105 0.105  0.06
10 Cl 0.573 0.346 0.875  0.02
11 Cl 0.573 0.875 0.346  0.02
12 Cl 0.427 0.125 0.654  0.02
13 Cl 0.427 0.654 0.125  0.02



# 3
Computed, not measured: crystalline Cu2PbCl4 at its relaxed geometry at the PBE level of DFT.

Calculated values
SG = No. 87
Magnetization = 0.01 μB/atom
Energy relative to the elements, uncorrected = -0.62 eV per atom

Lattice parameters (Å, degrees): 6.170 6.170 6.170 105.09 105.09 118.64
Fractional coordinates of all 7 atoms:
1 Cu 0.250 0.750 0.500
2 Cu 0.750 0.250 0.500
3 Pb 0.500 0.500 0.000
4 Cl 0.329 0.157 0.486
5 Cl 0.843 0.329 0.171
6 Cl 0.157 0.671 0.829
7 Cl 0.671 0.843 0.514



# 4
Computed, not measured: crystalline CuPb2Cl at its relaxed geometry at the PBE level of DFT.

Calculated values
SG = No. 71
Magnetization = 0.00 μB/atom
Energy relative to the elements, uncorrected = 0.01 eV per atom
DOS(E_F) = 1.53 states/eV per cell

Lattice parameters (Å, degrees): 5.685 5.685 5.685 139.16 119.73 75.38
Fractional coordinates of all 4 atoms:
1 Pb 0.025 0.025 0.000
2 Pb 0.475 0.475 0.000
3 Cu 0.250 0.750 0.500
4 Cl 0.750 0.250 0.500



# 5
Computed, not measured: crystalline Cu2PbCl at its relaxed geometry at the PBE level of DFT.

Calculated values
SG = No. 99
Magnetization = 0.00 μB/atom
Energy relative to the elements, uncorrected = -0.04 eV per atom
DOS(E_F) = 1.66 states/eV per cell

Lattice parameters (Å, degrees): 3.302 3.302 7.362 90.00 90.00 90.00
Fractional coordinates of all 4 atoms:
1 Pb 0.000 0.000 0.434
2 Cu 0.000 0.000 0.038
3 Cu 0.500 0.500 0.178
4 Cl 0.500 0.500 0.849



# 6
Computed, not measured: crystalline Cu2PbCl at its relaxed geometry at the PBE level of DFT.

Calculated values
SG = No. 71
Magnetization = 0.00 μB/atom
Energy relative to the elements, uncorrected = 0.22 eV per atom
DOS(E_F) = 1.48 states/eV per cell

Lattice parameters (Å, degrees): 5.335 5.335 5.335 143.21 115.89 76.26
Fractional coordinates of all 4 atoms:
1 Pb 0.750 0.250 0.500
2 Cu 0.012 0.012 0.000
3 Cu 0.488 0.488 0.000
4 Cl 0.250 0.750 0.500



# 7
Computed, not measured: crystalline CuPb4Cl at its relaxed geometry at the PBE level of DFT.

Calculated values
SG = No. 216
Magnetization = 0.00 μB/atom
Energy relative to the elements, uncorrected = 0.34 eV per atom
DOS(E_F) = 3.06 states/eV per cell

Lattice parameters (Å, degrees): 6.423 6.423 6.423 60.00 60.00 60.00
Fractional coordinates of all 6 atoms:
1 Cu 0.000 0.000 0.000
2 Pb 0.877 0.374 0.374
3 Pb 0.374 0.374 0.877
4 Pb 0.374 0.877 0.374
5 Pb 0.374 0.374 0.374
6 Cl 0.750 0.750 0.750



# 8
Computed, not measured: crystalline Cu2PbCl at its relaxed geometry at the PBE level of DFT.

Calculated values
SG = No. 12
Magnetization = 0.00 μB/atom
Energy relative to the elements, uncorrected = 0.07 eV per atom
DOS(E_F) = 1.61 states/eV per cell

Lattice parameters (Å, degrees): 5.126 5.126 7.543 52.51 52.51 36.27
Fractional coordinates of all 4 atoms:
1 Pb 0.750 0.750 0.750
2 Cu 0.941 0.941 0.916
3 Cu 0.559 0.559 0.584
4 Cl 0.250 0.250 0.250



# 9
Computed, not measured: crystalline CuPb2Cl at its relaxed geometry at the PBE level of DFT.

Calculated values
SG = No. 44
Magnetization = 0.00 μB/atom
Energy relative to the elements, uncorrected = -0.10 eV per atom
DOS(E_F) = 1.59 states/eV per cell

Lattice parameters (Å, degrees): 8.419 8.419 8.419 155.47 154.69 35.54
Fractional coordinates of all 4 atoms:
1 Pb 0.068 0.068 0.000
2 Pb 0.783 0.283 0.500
3 Cu 0.204 0.704 0.500
4 Cl 0.446 0.446 0.000



# 10
Computed, not measured: crystalline CuPb2Cl at its relaxed geometry at the PBE level of DFT.

Calculated values
SG = No. 139
Magnetization = 0.00 μB/atom
Energy relative to the elements, uncorrected = 0.06 eV per atom
DOS(E_F) = 1.85 states/eV per cell

Lattice parameters (Å, degrees): 5.367 5.367 5.367 126.06 126.06 79.78
Fractional coordinates of all 4 atoms:
1 Pb 0.000 0.000 0.000
2 Pb 0.500 0.500 0.000
3 Cu 0.750 0.250 0.500
4 Cl 0.250 0.750 0.500



# 11
Computed, not measured: crystalline CuPb2Cl at its relaxed geometry at the PBE level of DFT.

Calculated values
SG = No. 123
Magnetization = 0.00 μB/atom
Energy relative to the elements, uncorrected = -0.11 eV per atom
DOS(E_F) = 3.08 states/eV per cell

Lattice parameters (Å, degrees): 3.455 3.456 8.124 90.00 90.00 90.00
Fractional coordinates of all 4 atoms:
1 Pb 0.000 0.000 0.973
2 Pb 0.000 0.000 0.527
3 Cu 0.500 0.500 0.750
4 Cl 0.500 0.500 0.250



# 12
Computed, not measured: crystalline CuPb2Cl at its relaxed geometry at the PBE level of DFT.

Calculated values
SG = No. 225
Magnetization = 0.00 μB/atom
Energy relative to the elements, uncorrected = 0.08 eV per atom
DOS(E_F) = 3.00 states/eV per cell

Lattice parameters (Å, degrees): 5.159 5.159 5.159 60.00 60.00 60.00
Fractional coordinates of all 4 atoms:
1 Pb 0.250 0.250 0.250
2 Pb 0.750 0.750 0.750
3 Cu 0.500 0.500 0.500
4 Cl 0.000 0.000 0.000



Listing mass density for the structures above in their given order: 7542 4354 4460 8368 7650 7675 8222 6817 8058 8735 8786 8782 kg/m3.